A geometry-optimized Tb6OsSe5 structure. Source: Alexandria via LeMat-Bulk, functional GGA-PBE.

## Properties
Formation energy from raw total energies (eV per atom): -1.522

Geometry as POSCAR:
```
Tb6OsSe5
1.0
3.597 -6.228 0.000
3.597 6.228 0.000
-2.390 0.000 6.743
Tb Os Se
6 1 5
Cartesian
-0.081 1.937 4.951
1.022 0.000 1.779
-0.081 -1.937 4.951
4.886 1.937 1.792
3.783 0.000 4.964
4.886 -1.937 1.792
-1.195 0.000 3.372
3.597 4.049 0.000
2.402 2.056 3.372
3.597 0.000 0.000
2.402 -2.056 3.372
3.597 -4.049 0.000
```